# ZnCrP

A relaxed structure of ZnCrP (PBEsol, Alexandria).

Geometry as POSCAR:
```
ZnCrP
1.0
2.6167 0.0026 0.0000
-0.7478 2.5076 0.0000
-0.9345 -1.2551 6.1875
P Cr Zn
1 1 1
direct
0.3599 0.3599 0.7197 P
0.9895 0.9895 0.9790 Cr
0.6506 0.6506 0.3013 Zn
```

Calculated values
* energy of formation: 0.171 eV per atom
* symmetry: Fmm2


# Ba2SrCd

A relaxed structure of Ba2SrCd (PBEsol, Alexandria).

Geometry as POSCAR:
```
Ba2SrCd
1.0
-3.8270 1.1984 1.0603
-0.9381 -3.9071 1.0299
3.2706 1.7923 9.7790
Ba Sr Cd
2 1 1
direct
0.0000 0.0000 0.9887 Ba
0.5000 0.5000 0.3166 Ba
0.5000 0.5000 0.6825 Sr
0.0000 0.0000 0.5121 Cd
```

Calculated values
* energy of formation: -0.147 eV per atom
* symmetry: P4mm


# LiHg2Ru

A relaxed structure of LiHg2Ru (PBEsol, Alexandria).

Geometry as POSCAR:
```
LiHg2Ru
1.0
3.1591 0.0000 0.0000
0.0000 4.5584 0.0000
0.0000 0.0000 4.5584
Hg Ru Li
2 1 1
direct
0.0000 0.5000 0.0000 Hg
0.0000 0.0000 0.5000 Hg
0.5000 0.0000 0.0000 Ru
0.5000 0.5000 0.5000 Li
```

Calculated values
* energy of formation: 0.008 eV per atom
* symmetry: P4/mmm


# Ca3FeRu

A relaxed structure of Ca3FeRu (PBEsol, Alexandria).

Geometry as POSCAR:
```
Ca3FeRu
1.0
5.0222 0.0000 0.0000
0.0000 5.0222 0.0000
0.0000 0.0000 5.0222
Ca Fe Ru
3 1 1
direct
0.5000 0.0000 0.0000 Ca
0.0000 0.0000 0.5000 Ca
0.0000 0.5000 0.0000 Ca
0.0000 0.0000 0.0000 Fe
0.5000 0.5000 0.5000 Ru
```

Calculated values
* energy of formation: 1.130 eV per atom
* symmetry: Pm-3m


# KSrIn2

A relaxed structure of KSrIn2 (PBEsol, Alexandria).

Geometry as POSCAR:
```
KSrIn2
1.0
-2.8557 1.5511 -4.1562
1.3165 -5.6380 0.3399
-3.8708 -3.2859 1.4333
Sr In K
1 2 1
direct
0.7500 0.5000 0.7500 Sr
0.2500 0.5000 0.2500 In
0.0000 0.0000 0.0000 In
0.5000 0.0000 0.5000 K
```

Calculated values
* energy of formation: -0.129 eV per atom
* symmetry: I-4m2


# CoBiBr3

A relaxed structure of CoBiBr3 (PBEsol, Alexandria).

Geometry as POSCAR:
```
CoBiBr3
1.0
-0.9171 1.4499 -4.4861
-0.6830 -4.5629 -1.3351
-4.6649 0.3830 1.0775
Br Co Bi
3 1 1
direct
0.0000 0.5000 0.0000 Br
0.0000 0.0000 0.5000 Br
0.5000 0.0000 0.0000 Br
0.0000 0.0000 0.0000 Co
0.5000 0.5000 0.5000 Bi
```

Calculated values
* symmetry: Pm-3m
* E_tot: -3.5387 eV/atom


# Te2AuCl

A relaxed structure of Te2AuCl (PBEsol, Alexandria).

Geometry as POSCAR:
```
Te2AuCl
1.0
4.9061 0.0000 0.0000
0.0000 4.9061 0.0000
-2.4530 -2.4530 9.4228
Au Te Cl
2 4 2
direct
0.0000 0.0000 0.0000 Au
0.2500 0.7500 0.5000 Au
0.6250 0.7181 0.7500 Te
0.9681 0.3750 0.2500 Te
0.1250 0.0319 0.7500 Te
0.2819 0.8750 0.2500 Te
0.5000 0.5000 0.0000 Cl
0.7500 0.2500 0.5000 Cl
```

Calculated values
* symmetry: I-42d
* E_tot: -3.1097 eV/atom


# MnMo2Os

A relaxed structure of MnMo2Os (PBEsol, Alexandria).

Geometry as POSCAR:
```
MnMo2Os
1.0
2.6712 0.0008 0.0013
-0.7425 4.9073 0.0163
-0.7425 -2.3305 4.3186
Mo Mn Os
2 1 1
direct
0.0000 0.0000 0.5000 Mo
0.0000 0.5000 0.0000 Mo
0.5000 0.5000 0.5000 Mn
0.5000 0.0000 0.0000 Os
```

Calculated values
* energy of formation: 0.179 eV per atom
* symmetry: C2/m


# Cu2Pt

A relaxed structure of Cu2Pt (PBEsol, Alexandria).

Geometry as POSCAR:
```
Cu2Pt
1.0
4.7216 0.0000 0.0000
-2.3608 4.0890 0.0000
0.0000 0.0000 7.6986
Pt Cu
4 8
direct
0.6667 0.3333 0.9379 Pt
0.6667 0.3333 0.5621 Pt
0.3333 0.6667 0.0621 Pt
0.3333 0.6667 0.4379 Pt
0.0000 0.0000 0.5000 Cu
0.1699 0.8301 0.7500 Cu
0.8301 0.1699 0.2500 Cu
0.6602 0.8301 0.7500 Cu
0.1699 0.3398 0.7500 Cu
0.8301 0.6602 0.2500 Cu
0.0000 0.0000 0.0000 Cu
0.3398 0.1699 0.2500 Cu
```

Calculated values
* energy of formation: -0.053 eV per atom
* symmetry: P6_3/mmc


# TaPBr2

A relaxed structure of TaPBr2 (PBEsol, Alexandria).

Geometry as POSCAR:
```
TaPBr2
1.0
3.2525 0.0000 0.0000
0.0000 3.8006 0.0000
-1.6262 -1.9003 7.5205
P Br Ta
1 2 1
direct
0.5000 0.0000 0.0000 P
0.6519 0.6519 0.3037 Br
0.3481 0.3481 0.6963 Br
0.0000 0.5000 0.0000 Ta
```

Calculated values
* symmetry: Immm
* E_tot: -5.7823 eV/atom


# Zr2CuRh

A relaxed structure of Zr2CuRh (PBEsol, Alexandria).

Geometry as POSCAR:
```
Zr2CuRh
1.0
-0.4242 -3.2325 -0.5213
4.1580 -0.5459 0.0011
0.1071 0.8270 5.2402
Zr Rh Cu
2 1 1
direct
0.1067 0.0000 0.2133 Zr
0.3914 0.5000 0.7828 Zr
0.6626 0.5000 0.3252 Rh
0.8320 0.0000 0.6639 Cu
```

Calculated values
* energy of formation: -0.467 eV per atom
* symmetry: Amm2


# MgCrIr3

A relaxed structure of MgCrIr3 (PBEsol, Alexandria).

Geometry as POSCAR:
```
MgCrIr3
1.0
4.4514 0.0000 0.0000
0.0000 4.4514 0.0000
0.0000 0.0000 4.4514
Ir Mg Cr
3 1 1
direct
0.0000 0.5000 0.0000 Ir
0.5000 0.0000 0.0000 Ir
0.0000 0.0000 0.5000 Ir
0.5000 0.5000 0.5000 Mg
0.0000 0.0000 0.0000 Cr
```

Calculated values
* energy of formation: 0.974 eV per atom
* symmetry: Pm-3m